{
  "formula": "RbNa2SbN",
  "functional": "PBE",
  "state": "relaxed",
  "mass_density_g_cm3": 3.4,
  "sg": "No. 123",
  "formation_energy_uncorrected_ev_per_fu": 1.37,
  "total_energy_ev_per_atom": -2.936,
  "lattice_angstrom": [[5.193, 0.000, 0.000], [0.000, 4.773, 0.000], [0.000, 0.000, 5.193]],
  "species": ["Rb", "Na", "Na", "Sb", "N"],
  "frac_coords": [[0.500, 0.500, 0.500], [0.000, 0.000, 0.500], [0.500, 0.000, 0.000], [0.000, 0.500, 0.000], [0.000, 0.000, 0.000]]
}


{
  "formula": "Sm6Te2C",
  "functional": "PBE",
  "state": "relaxed",
  "mass_density_g_cm3": 7.6,
  "sg": "No. 14",
  "formation_energy_uncorrected_ev_per_fu": -5.89,
  "total_energy_ev_per_atom": -5.523,
  "lattice_angstrom": [[-6.158, -1.694, -1.414], [0.473, -5.987, 5.114], [-2.935, 6.027, 7.328]],
  "species": ["Sm", "Sm", "Sm", "Sm", "Sm", "Sm", "Sm", "Sm", "Sm", "Sm", "Sm", "Sm", "Te", "Te", "Te", "Te", "C", "C"],
  "frac_coords": [[0.170, 0.330, 0.035], [0.116, 0.021, 0.748], [0.670, 0.170, 0.535], [0.862, 0.708, 0.544], [0.138, 0.292, 0.456], [0.638, 0.208, 0.956], [0.330, 0.830, 0.465], [0.384, 0.521, 0.752], [0.830, 0.670, 0.965], [0.884, 0.979, 0.252], [0.616, 0.479, 0.248], [0.362, 0.792, 0.044], [0.577, 0.891, 0.753], [0.923, 0.391, 0.747], [0.077, 0.609, 0.253], [0.423, 0.109, 0.247], [0.000, 0.000, 0.500], [0.500, 0.500, 0.000]]
}


{
  "formula": "NaInGaSb",
  "functional": "PBE",
  "state": "relaxed",
  "mass_density_g_cm3": 5.2,
  "sg": "No. 216",
  "formation_energy_uncorrected_ev_per_fu": -0.20,
  "total_energy_ev_per_atom": -2.853,
  "lattice_angstrom": [[-4.722, -2.336, -0.441], [-1.842, -3.003, 3.942], [-4.067, 1.685, 2.928]],
  "species": ["Ga", "In", "Na", "Sb"],
  "frac_coords": [[0.250, 0.250, 0.250], [0.000, 0.000, 0.000], [0.500, 0.500, 0.500], [0.750, 0.750, 0.750]]
}


{
  "formula": "NdYThZr",
  "functional": "PBE",
  "state": "relaxed",
  "mass_density_g_cm3": 7.7,
  "sg": "No. 216",
  "total_energy_ev_per_atom": -6.626,
  "delta_e_f_ev_per_fu": 0.70,
  "lattice_angstrom": [[5.529, 0.000, 0.000], [2.764, 4.788, 0.000], [2.764, 1.596, 4.514]],
  "species": ["Zr", "Nd", "Th", "Y"],
  "frac_coords": [[0.250, 0.250, 0.250], [0.500, 0.500, 0.500], [0.000, 0.000, 0.000], [0.750, 0.750, 0.750]]
}